[1]
# Ba2ZnI PBE relaxed
data_Ba2ZnI
_cell_length_a 4.736
_cell_length_b 4.736
_cell_length_c 27.447
_cell_angle_alpha 90.00
_cell_angle_beta 90.00
_cell_angle_gamma 120.00
_space_group_name_H-M_alt 'P 1'
_space_group_IT_number 1
loop_
_space_group_symop_operation_xyz
'x,y,z'
loop_
_atom_site_label
_atom_site_type_symbol
_atom_site_fract_x
_atom_site_fract_y
_atom_site_fract_z
Ba1 Ba 0.000 0.000 0.000
Ba2 Ba 0.000 0.000 0.187
Ba3 Ba 0.333 0.667 0.667
Ba4 Ba 0.333 0.667 0.854
Ba5 Ba 0.667 0.333 0.333
Ba6 Ba 0.667 0.333 0.521
Zn1 Zn 0.000 0.000 0.594
Zn2 Zn 0.333 0.667 0.261
Zn3 Zn 0.667 0.333 0.928
I1 I 0.000 0.000 0.426
I2 I 0.333 0.667 0.093
I3 I 0.667 0.333 0.760
# Total magnetization in μB per cell: 1.8
# Fermi-level density of states in states/eV/cell: 12.3

[2]
# Ba2ZnI PBE relaxed
data_Ba2ZnI
_cell_length_a 4.607
_cell_length_b 26.964
_cell_length_c 5.302
_cell_angle_alpha 90.00
_cell_angle_beta 90.00
_cell_angle_gamma 90.00
_space_group_name_H-M_alt 'P 1'
_space_group_IT_number 1
loop_
_space_group_symop_operation_xyz
'x,y,z'
loop_
_atom_site_label
_atom_site_type_symbol
_atom_site_fract_x
_atom_site_fract_y
_atom_site_fract_z
Ba1 Ba 0.000 0.056 0.250
Ba2 Ba 0.000 0.332 0.250
Ba3 Ba 0.000 0.668 0.750
Ba4 Ba 0.000 0.944 0.750
Ba5 Ba 0.500 0.168 0.750
Ba6 Ba 0.500 0.444 0.750
Ba7 Ba 0.500 0.556 0.250
Ba8 Ba 0.500 0.832 0.250
Zn1 Zn 0.000 0.460 0.250
Zn2 Zn 0.000 0.540 0.750
Zn3 Zn 0.500 0.040 0.750
Zn4 Zn 0.500 0.960 0.250
I1 I 0.000 0.196 0.250
I2 I 0.000 0.804 0.750
I3 I 0.500 0.304 0.750
I4 I 0.500 0.696 0.250
# Total magnetization in μB per cell: 0.0
# Fermi-level density of states in states/eV/cell: 13.9

[3]
# Ba2ZnI PBE relaxed
data_Ba2ZnI
_cell_length_a 4.761
_cell_length_b 4.761
_cell_length_c 27.006
_cell_angle_alpha 90.00
_cell_angle_beta 90.00
_cell_angle_gamma 120.00
_space_group_name_H-M_alt 'P 1'
_space_group_IT_number 1
loop_
_space_group_symop_operation_xyz
'x,y,z'
loop_
_atom_site_label
_atom_site_type_symbol
_atom_site_fract_x
_atom_site_fract_y
_atom_site_fract_z
Ba1 Ba 0.000 0.000 0.241
Ba2 Ba 0.000 0.000 0.759
Ba3 Ba 0.333 0.667 0.426
Ba4 Ba 0.333 0.667 0.908
Ba5 Ba 0.667 0.333 0.092
Ba6 Ba 0.667 0.333 0.574
Zn1 Zn 0.000 0.000 0.500
Zn2 Zn 0.333 0.667 0.167
Zn3 Zn 0.667 0.333 0.833
I1 I 0.000 0.000 0.000
I2 I 0.333 0.667 0.667
I3 I 0.667 0.333 0.333
# Total magnetization in μB per cell: 1.9
# Fermi-level density of states in states/eV/cell: 12.6

[4]
# Ba4Zn2I PBE relaxed
data_Ba4Zn2I
_cell_length_a 8.545
_cell_length_b 8.545
_cell_length_c 10.759
_cell_angle_alpha 117.19
_cell_angle_beta 117.19
_cell_angle_gamma 77.37
_space_group_name_H-M_alt 'P 1'
_space_group_IT_number 1
loop_
_space_group_symop_operation_xyz
'x,y,z'
loop_
_atom_site_label
_atom_site_type_symbol
_atom_site_fract_x
_atom_site_fract_y
_atom_site_fract_z
Ba1 Ba 0.011 0.011 0.256
Ba2 Ba 0.071 0.509 0.333
Ba3 Ba 0.184 0.409 0.707
Ba4 Ba 0.491 0.929 0.667
Ba5 Ba 0.514 0.278 0.171
Ba6 Ba 0.591 0.816 0.293
Ba7 Ba 0.722 0.486 0.829
Ba8 Ba 0.989 0.989 0.744
Zn1 Zn 0.430 0.223 0.467
Zn2 Zn 0.768 0.232 0.500
Zn3 Zn 0.777 0.570 0.533
Zn4 Zn 0.786 0.214 0.000
I1 I 0.179 0.587 0.077
I2 I 0.413 0.821 0.923
# Total magnetization in μB per cell: 0.3
# Fermi-level density of states in states/eV/cell: 15.7

| no. | E_tot (eV per formula unit) |
| --- | --- |
| 1 | -9.5 |
| 2 | -9.6 |
| 3 | -9.5 |
| 4 | -14.6 |